This record from Alexandria describes Y5Al4Hg after structural relaxation. The functional is PBE-GGA.

Cell: 3.598 3.598 18.494 Å, 90.00 90.00 90.00°
Space group P4/mmm (No. 123)
Inequivalent atoms, fractional coordinates:
Y (0.000, 0.000, 0.000) (multiplicity 1)
Y (0.000, 0.000, 0.195) (multiplicity 2)
Y (0.000, 0.000, 0.392) (multiplicity 2)
Al (0.500, 0.500, 0.097) (multiplicity 2)
Al (0.500, 0.500, 0.294) (multiplicity 2)
Hg (0.500, 0.500, 0.500) (multiplicity 1)

***

This record from Alexandria describes YAl2Hg after structural relaxation. The functional is PBE-GGA.

Calculated values
relative energy among the computed polymorphs	358.5	meV/atom

Cell: 3.2691 3.2691 28.9868 Å, 90.00 90.00 120.00°
Space group R3m (No. 160, hexagonal axes)
Inequivalent atoms, fractional coordinates:
Y (0.0000, 0.0000, 0.0000) (multiplicity 3)
Al (0.0000, 0.0000, 0.2452) (multiplicity 3)
Al (0.0000, 0.0000, 0.5020) (multiplicity 3)
Hg (0.0000, 0.0000, 0.7573) (multiplicity 3)

***

This record from Alexandria describes YAlHg after structural relaxation. The functional is PBE-GGA.

Calculated values
relative energy among the computed polymorphs	0.0	meV/atom

Cell: 4.6652 4.6652 3.5974 Å, 90.00 90.00 120.00°
Space group P-6m2 (No. 187)
Inequivalent atoms, fractional coordinates:
Y (0.0000, 0.0000, 0.0000) (multiplicity 1)
Al (0.6667, 0.3333, 0.5000) (multiplicity 1)
Hg (0.3333, 0.6667, 0.5000) (multiplicity 1)

***

| no. | formation energy from the elements (meV per atom) |
| --- | --- |
| 1 | -435 |
| 2 | 10 |
| 3 | -482 |